VASP calculation (PBE) on Zn2InTe after structural relaxation.

abc: 5.299 5.299 7.029
angles: 90.00 90.00 90.00
Element x y z (fractional)
Zn1 0.000 0.000 0.000
Zn2 0.000 0.500 0.250
Zn3 0.500 0.000 0.750
Zn4 0.500 0.500 0.500
In1 0.000 0.500 0.750
In2 0.500 0.000 0.250
Te1 0.000 0.000 0.500
Te2 0.500 0.500 0.000

Properties
V   197 Å³ per cell
DOS at the Fermi energy   3.50 states/eV/cell
Offset from the most stable computed form   171.3 meV per atom
ΔE_f (raw)   0.166 eV per atom
Symmetry   I-4m2, No. 119